# 1
The following is a GGA-PBE calculation of an optimized crystal structure of SiGePd, from Alexandria via LeMat-Bulk.

POSCAR file:
```
SiGePd
1.0
5.9479 0.0000 0.0000
0.0000 5.9479 0.0000
0.0000 0.0000 5.9479
Si Ge Pd
4 4 4
Direct
0.0000 0.0000 0.0000 Si
0.0000 0.5000 0.5000 Si
0.5000 0.0000 0.5000 Si
0.5000 0.5000 0.0000 Si
0.0000 0.0000 0.5000 Ge
0.0000 0.5000 0.0000 Ge
0.5000 0.0000 0.0000 Ge
0.5000 0.5000 0.5000 Ge
0.2500 0.2500 0.7500 Pd
0.2500 0.7500 0.2500 Pd
0.7500 0.2500 0.2500 Pd
0.7500 0.7500 0.7500 Pd
```

Properties
Formation energy from raw total energies ... -0.527 eV/f.u.
Magnetic moment ... 0.000 μB per atom

# 2
The following is a GGA-PBE calculation of an optimized crystal structure of Sm4BiIr2, from Alexandria via LeMat-Bulk.

POSCAR file:
```
Sm4BiIr2
1.0
-4.6913 4.6991 4.9415
4.6913 -4.6991 4.9415
4.6913 4.6991 -4.9415
Sm Bi Ir
8 2 4
Direct
0.2263 0.2922 0.5659 Sm
0.2263 0.6603 0.9341 Sm
0.2925 0.2263 0.0661 Sm
0.3398 0.7737 0.5661 Sm
0.6602 0.2263 0.4339 Sm
0.7075 0.7737 0.9339 Sm
0.7737 0.3397 0.0659 Sm
0.7737 0.7078 0.4341 Sm
0.1238 0.8738 0.2500 Bi
0.8762 0.1262 0.7500 Bi
0.0000 0.5000 0.5000 Ir
0.5000 0.0000 0.0000 Ir
0.5000 0.5000 0.0000 Ir
0.5000 0.5000 0.5000 Ir
```

Properties
Formation energy ... -568 meV/atom
Magnetic moment ... 0.000 μB per atom

# 3
The following is a GGA-PBE calculation of an optimized crystal structure of Y3RhBr, from Alexandria via LeMat-Bulk.

POSCAR file:
```
Y3RhBr
1.0
5.4299 0.0000 0.0000
0.0000 5.4299 0.0000
0.0000 0.0000 5.4299
Y Rh Br
3 1 1
Direct
0.0000 0.0000 0.5000 Y
0.0000 0.5000 0.0000 Y
0.5000 0.0000 0.0000 Y
0.0000 0.0000 0.0000 Rh
0.5000 0.5000 0.5000 Br
```

Properties
ΔE to the lowest computed polymorph ... 0.0 meV per atom
Formation energy from raw total energies ... -2.120 eV/f.u.
Magnetic moment ... 0.000 μB per atom

# 4
The following is a GGA-PBE calculation of an optimized crystal structure of VMoIr, from Alexandria via LeMat-Bulk.

POSCAR file:
```
VMoIr
1.0
4.3166 0.0000 0.0000
-2.1583 3.7383 0.0000
0.0000 0.0000 2.7158
V Mo Ir
1 1 1
Direct
0.0000 0.0000 0.0000 V
0.6667 0.3333 0.2386 Mo
0.3333 0.6667 0.6529 Ir
```

Properties
ΔE to the lowest computed polymorph ... 80.6 meV per atom
Formation energy ... -124 meV/atom
Magnetic moment ... 0.000 μB per atom

# 5
The following is a GGA-PBE calculation of an optimized crystal structure of RbAlB, from Alexandria via LeMat-Bulk.

POSCAR file:
```
RbAlB
1.0
5.8569 0.0000 0.0000
0.0000 3.3508 0.0000
0.0000 0.0000 7.1017
Rb Al B
2 2 2
Direct
0.0000 0.0000 0.0000 Rb
0.0000 0.5000 0.5000 Rb
0.5000 0.0000 0.3130 Al
0.5000 0.5000 0.8130 Al
0.5000 0.0000 0.6146 B
0.5000 0.5000 0.1146 B
```

Properties
ΔE to the lowest computed polymorph ... 349.5 meV per atom
Formation energy ... 565 meV/atom
Magnetic moment ... 0.000 μB per atom

# 6
The following is a GGA-PBE calculation of an optimized crystal structure of Ca4ZnGa, from Alexandria via LeMat-Bulk.

POSCAR file:
```
Ca4ZnGa
1.0
3.6982 0.0000 0.0000
0.0000 3.6982 0.0000
0.0000 0.0000 13.3110
Ca Zn Ga
4 1 1
Direct
0.0000 0.0000 0.1347 Ca
0.0000 0.0000 0.8653 Ca
0.5000 0.5000 0.3647 Ca
0.5000 0.5000 0.6353 Ca
0.0000 0.0000 0.5000 Zn
0.5000 0.5000 0.0000 Ga
```

Properties
ΔE to the lowest computed polymorph ... 0.0 meV per atom
Formation energy ... -248 meV/atom
Magnetic moment ... 0.000 μB per atom

# 7
The following is a GGA-PBE calculation of an optimized crystal structure of Sc2MnPd8, from Alexandria via LeMat-Bulk.

POSCAR file:
```
Sc2MnPd8
1.0
7.1091 -2.0463 0.0000
7.1091 2.0463 0.0000
-1.9109 0.0000 6.0799
Sc Mn Pd
2 1 8
Direct
0.2180 0.2180 0.1639 Sc
0.7820 0.7820 0.8361 Sc
0.5000 0.5000 0.5000 Mn
0.0393 0.0393 0.2280 Pd
0.1434 0.1434 0.6894 Pd
0.3256 0.3256 0.5900 Pd
0.4053 0.4053 0.0525 Pd
0.5947 0.5947 0.9475 Pd
0.6744 0.6744 0.4100 Pd
0.8566 0.8566 0.3106 Pd
0.9607 0.9607 0.7720 Pd
```

Properties
Formation energy ... -576 meV/atom
Magnetic moment ... 0.403 μB per atom

# 8
The following is a GGA-PBE calculation of an optimized crystal structure of CaMg2Al, from Alexandria via LeMat-Bulk.

POSCAR file:
```
CaMg2Al
1.0
3.3811 0.0000 0.0000
-1.6906 2.9281 0.0000
0.0000 0.0000 31.0400
Ca Mg Al
3 6 3
Direct
0.0000 0.0000 0.0000 Ca
0.3333 0.6667 0.6667 Ca
0.6667 0.3333 0.3333 Ca
0.0000 0.0000 0.2394 Mg
0.0000 0.0000 0.7606 Mg
0.3333 0.6667 0.4273 Mg
0.3333 0.6667 0.9061 Mg
0.6667 0.3333 0.0939 Mg
0.6667 0.3333 0.5727 Mg
0.0000 0.0000 0.5000 Al
0.3333 0.6667 0.1667 Al
0.6667 0.3333 0.8333 Al
```

Properties
Formation energy ... 117 meV/atom
Magnetic moment ... 0.000 μB per atom

# 9
The following is a GGA-PBE calculation of an optimized crystal structure of TbMgOs, from Alexandria via LeMat-Bulk.

POSCAR file:
```
TbMgOs
1.0
3.4111 0.0000 0.0000
0.0000 3.4111 0.0000
0.0000 0.0000 10.8502
Tb Mg Os
2 2 2
Direct
0.0000 0.0000 0.0000 Tb
0.5000 0.5000 0.5000 Tb
0.0000 0.0000 0.7255 Mg
0.5000 0.5000 0.2255 Mg
0.0000 0.0000 0.3518 Os
0.5000 0.5000 0.8518 Os
```

Properties
Formation energy ... 34 meV/atom
Magnetic moment ... 0.000 μB per atom

# 10
The following is a GGA-PBE calculation of an optimized crystal structure of LiBi2SbSe4, from Alexandria via LeMat-Bulk.

POSCAR file:
```
LiBi2SbSe4
1.0
7.0513 0.0000 0.0000
0.0000 4.0801 0.0000
-2.3395 0.0000 7.3909
Li Bi Sb Se
1 2 1 4
Direct
0.0000 0.0000 0.0000 Li
0.0000 0.5000 0.5000 Bi
0.5000 0.0000 0.5000 Bi
0.5000 0.5000 0.0000 Sb
0.2544 0.0000 0.7639 Se
0.2536 0.5000 0.2437 Se
0.7456 0.0000 0.2361 Se
0.7464 0.5000 0.7563 Se
```

Properties
Formation energy from raw total energies ... -3.074 eV/f.u.
Magnetic moment ... 0.000 μB per atom

# 11
The following is a GGA-PBE calculation of an optimized crystal structure of Dy2TaN, from Alexandria via LeMat-Bulk.

POSCAR file:
```
Dy2TaN
1.0
3.2655 0.0000 0.0000
-1.6327 2.8280 0.0000
0.0000 0.0000 26.5808
Dy Ta N
6 3 3
Direct
0.0000 0.0000 0.1143 Dy
0.0000 0.0000 0.8857 Dy
0.3333 0.6667 0.5523 Dy
0.3333 0.6667 0.7810 Dy
0.6667 0.3333 0.2190 Dy
0.6667 0.3333 0.4477 Dy
0.0000 0.0000 0.0000 Ta
0.3333 0.6667 0.6667 Ta
0.6667 0.3333 0.3333 Ta
0.0000 0.0000 0.5000 N
0.3333 0.6667 0.1667 N
0.6667 0.3333 0.8333 N
```

Properties
Formation energy from raw total energies ... -0.964 eV/f.u.
Magnetic moment ... 0.176 μB per atom

# 12
The following is a GGA-PBE calculation of an optimized crystal structure of IrRu2Au, from Alexandria via LeMat-Bulk.

POSCAR file:
```
IrRu2Au
1.0
6.2857 0.0000 0.0000
0.0000 6.2857 0.0000
0.0000 0.0000 6.2857
Ir Ru Au
4 8 4
Direct
0.0000 0.0000 0.0000 Ir
0.0000 0.5000 0.5000 Ir
0.5000 0.0000 0.5000 Ir
0.5000 0.5000 0.0000 Ir
0.0000 0.0000 0.5000 Ru
0.0000 0.5000 0.0000 Ru
0.2500 0.2500 0.7500 Ru
0.2500 0.7500 0.2500 Ru
0.5000 0.0000 0.0000 Ru
0.5000 0.5000 0.5000 Ru
0.7500 0.2500 0.2500 Ru
0.7500 0.7500 0.7500 Ru
0.2500 0.2500 0.2500 Au
0.2500 0.7500 0.7500 Au
0.7500 0.2500 0.7500 Au
0.7500 0.7500 0.2500 Au
```

Properties
ΔE to the lowest computed polymorph ... 408.5 meV per atom
Formation energy ... 622 meV/atom
Magnetic moment ... 0.626 μB per atom

# 13
The following is a GGA-PBE calculation of an optimized crystal structure of YRe2Tc, from Alexandria via LeMat-Bulk.

POSCAR file:
```
YRe2Tc
1.0
5.4913 0.0000 0.0000
0.0000 9.2637 0.0000
-0.9247 0.0000 2.6579
Y Re Tc
2 4 2
Direct
0.0000 0.0000 0.0000 Y
0.5000 0.5000 0.0000 Y
0.2500 0.2500 0.5000 Re
0.2500 0.7500 0.5000 Re
0.7500 0.2500 0.5000 Re
0.7500 0.7500 0.5000 Re
0.0000 0.5000 0.0000 Tc
0.5000 0.0000 0.0000 Tc
```

Properties
ΔE to the lowest computed polymorph ... 171.0 meV per atom
Formation energy ... 371 meV/atom
Magnetic moment ... 0.000 μB per atom

# 14
The following is a GGA-PBE calculation of an optimized crystal structure of Fe2IrOs, from Alexandria via LeMat-Bulk.

POSCAR file:
```
Fe2IrOs
1.0
2.7983 0.0000 0.0000
0.0000 4.5010 0.0000
0.0000 0.0000 8.6756
Fe Ir Os
4 2 2
Direct
0.0000 0.0000 0.2467 Fe
0.0000 0.0000 0.7533 Fe
0.5000 0.5000 0.2533 Fe
0.5000 0.5000 0.7467 Fe
0.0000 0.5000 0.0000 Ir
0.5000 0.0000 0.5000 Ir
0.0000 0.5000 0.5000 Os
0.5000 0.0000 0.0000 Os
```

Properties
Formation energy ... 232 meV/atom
Magnetic moment ... 1.573 μB per atom

# 15
The following is a GGA-PBE calculation of an optimized crystal structure of Li6PrPt6, from Alexandria via LeMat-Bulk.

POSCAR file:
```
Li6PrPt6
1.0
-2.6889 4.2621 4.6111
2.6889 -4.2621 4.6111
2.6889 4.2621 -4.6111
Li Pr Pt
6 1 6
Direct
0.1443 0.1443 0.0000 Li
0.1574 0.5000 0.6574 Li
0.2946 0.7946 0.5000 Li
0.7054 0.2054 0.5000 Li
0.8426 0.5000 0.3426 Li
0.8557 0.8557 0.0000 Li
0.5000 0.5000 0.0000 Pr
0.0000 0.0000 0.5000 Pt
0.0000 0.5000 0.0000 Pt
0.2799 0.0000 0.2799 Pt
0.5000 0.0000 0.0000 Pt
0.5000 0.5000 0.5000 Pt
0.7201 0.0000 0.7201 Pt
```

Properties
Formation energy ... -671 meV/atom
Magnetic moment ... 0.000 μB per atom

# 16
The following is a GGA-PBE calculation of an optimized crystal structure of SiBi2PtBr, from Alexandria via LeMat-Bulk.

POSCAR file:
```
SiBi2PtBr
1.0
5.5771 0.0000 0.0000
0.0000 5.5771 0.0000
0.0000 0.0000 4.5238
Si Bi Pt Br
1 2 1 1
Direct
0.0000 0.0000 0.0000 Si
0.0000 0.5000 0.0000 Bi
0.5000 0.0000 0.0000 Bi
0.0000 0.0000 0.5000 Pt
0.5000 0.5000 0.5000 Br
```

Properties
Formation energy from raw total energies ... 1.417 eV/f.u.
Magnetic moment ... 0.000 μB per atom

# 17
The following is a GGA-PBE calculation of an optimized crystal structure of CsBaAgF4, from Alexandria via LeMat-Bulk.

POSCAR file:
```
CsBaAgF4
1.0
6.5531 0.0000 0.0000
0.0000 6.1189 0.0000
-1.9683 0.0000 8.0673
Cs Ba Ag F
2 2 2 8
Direct
0.1495 0.2500 0.1095 Cs
0.8505 0.7500 0.8905 Cs
0.2104 0.7500 0.4733 Ba
0.7896 0.2500 0.5267 Ba
0.3837 0.2500 0.7566 Ag
0.6163 0.7500 0.2434 Ag
0.1051 0.0048 0.6982 F
0.1051 0.4952 0.6982 F
0.2717 0.7500 0.1618 F
0.3794 0.2500 0.4507 F
0.6206 0.7500 0.5493 F
0.7283 0.2500 0.8382 F
0.8949 0.5048 0.3018 F
0.8949 0.9952 0.3018 F
```

Properties
Formation energy from raw total energies ... -18.502 eV/f.u.
Magnetic moment ... 0.011 μB per atom

# 18
The following is a GGA-PBE calculation of an optimized crystal structure of SrAlOs2O8, from Alexandria via LeMat-Bulk.

POSCAR file:
```
SrAlOs2O8
1.0
5.4719 0.0000 0.0000
-2.7359 4.7388 0.0000
0.0000 0.0000 6.9182
Sr Al Os O
1 1 2 8
Direct
0.0000 0.0000 0.0000 Sr
0.0000 0.0000 0.5000 Al
0.3333 0.6667 0.7185 Os
0.6667 0.3333 0.2815 Os
0.0629 0.2969 0.6724 O
0.2340 0.9371 0.6724 O
0.2969 0.2340 0.3276 O
0.3333 0.6667 0.9812 O
0.6667 0.3333 0.0188 O
0.7031 0.7660 0.6724 O
0.7660 0.0629 0.3276 O
0.9371 0.7031 0.3276 O
```

Properties
Formation energy from raw total energies ... -17.709 eV/f.u.
Magnetic moment ... 0.250 μB per atom

# 19
The following is a GGA-PBE calculation of an optimized crystal structure of NdTmS2, from Alexandria via LeMat-Bulk.

POSCAR file:
```
NdTmS2
1.0
6.7653 0.0000 0.0000
0.0000 3.9177 0.0000
-2.2621 0.0000 6.6170
Nd Tm S
2 2 4
Direct
0.0000 0.0000 0.0000 Nd
0.5000 0.5000 0.0000 Nd
0.0000 0.5000 0.5000 Tm
0.5000 0.0000 0.5000 Tm
0.2426 0.0000 0.7275 S
0.2574 0.5000 0.2725 S
0.7426 0.5000 0.7275 S
0.7574 0.0000 0.2725 S
```

Properties
ΔE to the lowest computed polymorph ... 0.0 meV per atom
Formation energy from raw total energies ... -7.964 eV/f.u.
Magnetic moment ... 0.000 μB per atom

# 20
The following is a GGA-PBE calculation of an optimized crystal structure of LiSbP2O, from Alexandria via LeMat-Bulk.

POSCAR file:
```
LiSbP2O
1.0
5.2216 0.0000 0.0000
0.0000 5.2216 0.0000
0.0000 0.0000 3.9266
Li Sb P O
1 1 2 1
Direct
0.0000 0.0000 0.0000 Li
0.5000 0.5000 0.5000 Sb
0.0000 0.5000 0.5000 P
0.5000 0.0000 0.5000 P
0.5000 0.5000 0.0000 O
```

Properties
ΔE to the lowest computed polymorph ... 0.0 meV per atom
Formation energy from raw total energies ... 1.316 eV/f.u.
Magnetic moment ... 0.000 μB per atom